1.
A relaxed structure of Ge2SbPt2. Source: the Alexandria database, functional GGA-PBE.

Lattice parameters (Å, degrees): 7.695 7.695 3.122 90.00 90.00 90.00
Atoms (fractional coordinates):
Pt 0.640 0.140 0.000
Pt 0.860 0.640 0.000
Pt 0.360 0.860 0.000
Pt 0.140 0.360 0.000
Sb 0.500 0.500 0.000
Sb 0.000 0.000 0.000
Ge 0.352 0.148 0.500
Ge 0.148 0.648 0.500
Ge 0.852 0.352 0.500
Ge 0.648 0.852 0.500

## Properties
Total moment, μB per formula unit: 0.00
Total energy, eV per atom: -5.25
Formation energy without anion corrections, kJ/mol of atoms: -15.61
SG: P4/mbm

2.
A relaxed structure of Ce3Zn8Ga3. Source: the Alexandria database, functional GGA-PBE.

Lattice parameters (Å, degrees): 4.387 8.267 8.267 70.12 74.61 74.61
Last column: magnetic moment on the atom in μB.
Atoms (fractional coordinates):
Ce 0.500 0.500 0.500  0.77
Ce 0.813 0.187 0.187  0.51
Ce 0.187 0.813 0.813  0.51
Zn 0.355 0.374 0.917  0.01
Zn 0.162 0.469 0.207  0.01
Zn 0.355 0.917 0.374  0.01
Zn 0.162 0.207 0.469  0.01
Zn 0.838 0.793 0.531  0.01
Zn 0.645 0.626 0.083  0.01
Zn 0.645 0.083 0.626  0.01
Zn 0.838 0.531 0.793  0.01
Ga 0.500 0.000 0.000  0.00
Ga 0.000 0.214 0.786  0.00
Ga 0.000 0.786 0.214  0.00

## Properties
Total moment, μB per formula unit: 2.20
Total energy, eV per atom: -2.97
ΔE_f, eV per atom: -0.3262
SG: Immm